The following is a DFT calculation (PBE) of a relaxed structure of Rb2PuAl2O6.

Summary:
**Calculated density**: 4.75 g/cm³
**M_tot**: 4.00 μB per formula unit
**V**: 18.0 A^3/atom
**Formation energy without anion corrections**: -2.42 eV/atom

a = 6.0398 Å, b = 6.0398 Å, c = 18.7681 Å
α = 90.00°, β = 90.00°, γ = 120.00°
Space group R-3m (No. 166, hexagonal axes)
Unique sites:
Rb 0.0000 0.0000 0.2051 (multiplicity 6)
Pu 0.0000 0.0000 0.0000 (multiplicity 3)
Al 0.0000 0.0000 0.4031 (multiplicity 6)
O 0.0065 0.5033 0.2609 (multiplicity 18)


The following is a DFT calculation (PBE) of a relaxed structure of Rb2PuAlO4.

Summary:
**Calculated density**: 5.35 g/cm³
**M_tot**: 0.00 μB per formula unit
**V**: 19.6 A^3/atom
**Formation energy without anion corrections**: -2.32 eV/atom

a = 6.2691 Å, b = 7.2429 Å, c = 6.9216 Å
α = 90.00°, β = 90.00°, γ = 90.00°
Space group Pmmn (No. 59, origin choice 2)
Unique sites:
Rb 0.2500 0.0033 0.2156 (multiplicity 4)
Pu 0.2500 0.2500 0.6802 (multiplicity 2)
Al 0.2500 0.7500 0.6647 (multiplicity 2)
O 0.0177 0.7500 0.5121 (multiplicity 4)
O 0.2500 0.5376 0.7994 (multiplicity 4)


The following is a DFT calculation (PBE) of a relaxed structure of Rb4Pu3AlO8.

Summary:
**Calculated density**: 7.48 g/cm³
**M_tot**: 14.97 μB per formula unit
**V**: 17.0 A^3/atom
**Formation energy without anion corrections**: -2.20 eV/atom

a = 6.9454 Å, b = 6.9454 Å, c = 19.5809 Å
α = 90.00°, β = 90.00°, γ = 120.00°
Space group R-3m (No. 166, hexagonal axes)
Unique sites:
Rb 0.0000 0.0000 0.0000 (multiplicity 3)
Rb 0.0000 0.5000 0.0000 (multiplicity 9)
Pu 0.0000 0.5000 0.5000 (multiplicity 9)
Al 0.0000 0.0000 0.5000 (multiplicity 3)
O 0.0000 0.0000 0.2270 (multiplicity 6)
O 0.0363 0.5182 0.2217 (multiplicity 18)


The following is a DFT calculation (PBE) of a relaxed structure of RbPuAl2O6.

Summary:
**Calculated density**: 4.97 g/cm³
**M_tot**: 3.00 μB per formula unit
**V**: 16.0 A^3/atom
**Formation energy without anion corrections**: -2.62 eV/atom

a = 10.4984 Å, b = 10.6244 Å, c = 6.0055 Å
α = 90.00°, β = 106.77°, γ = 90.00°
Space group C2/c (No. 15)
Unique sites:
Rb 0.0000 0.0874 0.2500 (multiplicity 4)
Pu 0.0000 0.2987 0.7500 (multiplicity 4)
Al 0.2094 0.4208 0.1578 (multiplicity 8)
O 0.0768 0.3058 0.0905 (multiplicity 8)
O 0.1360 0.1518 0.7219 (multiplicity 8)
O 0.1780 0.4660 0.8547 (multiplicity 8)